[1]
Compound: GaRh3Au
Source: Alexandria via LeMat-Bulk
Functional: meta-GGA SCAN
Structure: PBEsol geometry

Calculated values
Its formation energy is 1593 meV per atom. As for the crystal system: cubic. Its symmetry is Pm-3m (221).

Geometry as POSCAR:
```
GaRh3Au
1.0
-1.574 -0.032 4.494
4.492 -0.172 1.572
0.152 4.759 0.087
Ga Rh Au
1 3 1
direct
0.500 0.500 0.500 Ga
0.000 0.000 0.500 Rh
0.500 0.000 0.000 Rh
0.000 0.500 0.000 Rh
0.000 0.000 0.000 Au
```



[2]
Compound: MnNbCl2
Source: Alexandria via LeMat-Bulk
Functional: meta-GGA SCAN
Structure: PBEsol geometry

Calculated values
As for the energy relative to the elements, uncorrected: -0.5318 eV per atom. For the energy relative to the lowest polymorph listed for this composition, the calculation gives 0.000 eV/atom. As for the crystal system: trigonal. Its symmetry is R-3m (166).

Geometry as POSCAR:
```
MnNbCl2
1.0
3.085 0.000 0.000
1.543 2.672 0.000
1.543 0.891 9.070
Mn Cl Nb
1 2 1
direct
0.000 0.000 0.000 Mn
0.899 0.899 0.302 Cl
0.101 0.101 0.698 Cl
0.500 0.500 0.500 Nb
```



[3]
Compound: Hf3TlPd
Source: Alexandria via LeMat-Bulk
Functional: meta-GGA SCAN
Structure: PBEsol geometry

Calculated values
Its formation energy is 298 meV per atom. For the energy relative to the lowest polymorph listed for this composition, the calculation gives 0.000 eV/atom. As for the crystal system: cubic. Its symmetry is Pm-3m (221).

Geometry as POSCAR:
```
Hf3TlPd
1.0
4.955 0.000 0.000
0.000 4.955 0.000
0.000 0.000 4.955
Tl Hf Pd
1 3 1
direct
0.500 0.500 0.500 Tl
0.000 0.000 0.500 Hf
0.000 0.500 0.000 Hf
0.500 0.000 0.000 Hf
0.000 0.000 0.000 Pd
```



[4]
Compound: MnGaSN2
Source: Alexandria via LeMat-Bulk
Functional: meta-GGA SCAN
Structure: PBEsol geometry

Calculated values
As for the energy relative to the elements, uncorrected: 0.4394 eV per atom. As for the crystal system: tetragonal. Its symmetry is P4/mmm (123).

Geometry as POSCAR:
```
MnGaSN2
1.0
-2.333 -0.689 -2.595
2.674 -0.289 -2.327
0.331 -4.805 0.977
N Ga S Mn
2 1 1 1
direct
0.000 0.500 0.000 N
0.500 0.000 0.000 N
0.500 0.500 0.500 Ga
0.000 0.000 0.500 S
0.000 0.000 0.000 Mn
```



[5]
Compound: ZnTe3
Source: Alexandria via LeMat-Bulk
Functional: meta-GGA SCAN
Structure: PBEsol geometry

Calculated values
As for the energy relative to the elements, uncorrected: 0.1273 eV per atom. As for the crystal system: orthorhombic. Its symmetry is Immm (71).

Geometry as POSCAR:
```
ZnTe3
1.0
-2.023 3.312 0.203
-3.008 -1.948 1.807
5.467 0.726 5.426
Te Zn
3 1
direct
0.288 0.288 0.577 Te
0.500 0.000 0.000 Te
0.712 0.712 0.423 Te
0.000 0.500 0.000 Zn
```



[6]
Compound: K3As2
Source: Alexandria via LeMat-Bulk
Functional: meta-GGA SCAN
Structure: PBEsol geometry

Calculated values
Its formation energy is -160 meV per atom. As for the crystal system: trigonal. Its symmetry is P-3m1 (164).

Geometry as POSCAR:
```
K3As2
1.0
-4.986 -1.251 -2.052
3.726 -4.003 0.851
-2.357 -0.864 6.255
As K
2 3
direct
0.333 0.667 0.845 As
0.667 0.333 0.155 As
0.333 0.667 0.330 K
0.667 0.333 0.670 K
0.000 0.000 0.000 K
```



[7]
Compound: CuAgRu3
Source: Alexandria via LeMat-Bulk
Functional: meta-GGA SCAN
Structure: PBEsol geometry

Calculated values
Its formation energy is 2607 meV per atom. As for the crystal system: cubic. Its symmetry is Pm-3m (221).

Geometry as POSCAR:
```
CuAgRu3
1.0
4.693 0.000 0.000
0.000 4.693 0.000
0.000 0.000 4.693
Ru Ag Cu
3 1 1
direct
0.500 0.000 0.000 Ru
0.000 0.500 0.000 Ru
0.000 0.000 0.500 Ru
0.000 0.000 0.000 Ag
0.500 0.500 0.500 Cu
```



[8]
Compound: KV2Se2
Source: Alexandria via LeMat-Bulk
Functional: meta-GGA SCAN
Structure: PBEsol geometry

Calculated values
As for the energy relative to the elements, uncorrected: -0.9138 eV per atom. As for the crystal system: tetragonal. Its symmetry is I4/mmm (139).

Geometry as POSCAR:
```
KV2Se2
1.0
-1.644 -1.487 -2.891
2.120 -2.946 0.309
-5.293 -0.950 5.792
Se K V
2 1 2
direct
0.363 0.363 0.727 Se
0.637 0.637 0.273 Se
0.000 0.000 0.000 K
0.250 0.750 0.500 V
0.750 0.250 0.500 V
```



[9]
Compound: TaRhO4
Source: Alexandria via LeMat-Bulk
Functional: meta-GGA SCAN
Structure: PBEsol geometry

Calculated values
As for the energy relative to the elements, uncorrected: -2.1528 eV per atom. As for the crystal system: orthorhombic. Its symmetry is Cmmm (65).

Geometry as POSCAR:
```
TaRhO4
1.0
3.102 0.000 0.000
0.000 4.621 -0.002
0.000 -0.052 4.620
O Rh Ta
4 1 1
direct
0.500 0.194 0.806 O
0.000 0.696 0.696 O
0.500 0.806 0.194 O
0.000 0.304 0.304 O
0.500 0.500 0.500 Rh
0.000 0.000 0.000 Ta
```



[10]
Compound: Ba2SrAs
Source: Alexandria via LeMat-Bulk
Functional: meta-GGA SCAN
Structure: PBEsol geometry

Calculated values
Its formation energy is -571 meV per atom. As for the crystal system: tetragonal. Its symmetry is I-42d (122).

Geometry as POSCAR:
```
Ba2SrAs
1.0
-6.001 -0.377 1.404
-4.353 -4.130 -6.140
-1.687 -7.145 4.450
As Sr Ba
2 2 4
direct
0.250 0.500 0.500 As
0.500 0.000 0.000 As
0.750 0.500 0.500 Sr
0.000 0.000 0.000 Sr
0.875 0.633 0.867 Ba
0.492 0.133 0.633 Ba
0.375 0.367 0.133 Ba
0.258 0.867 0.367 Ba
```



[11]
Compound: Al3CdAg
Source: Alexandria via LeMat-Bulk
Functional: meta-GGA SCAN
Structure: PBEsol geometry

Calculated values
Its formation energy is 454 meV per atom. As for the crystal system: cubic. Its symmetry is Pm-3m (221).

Geometry as POSCAR:
```
Al3CdAg
1.0
-3.147 0.737 3.608
2.598 -2.918 2.863
2.609 3.795 1.501
Ag Cd Al
1 1 3
direct
0.000 0.000 0.000 Ag
0.500 0.500 0.500 Cd
0.000 0.500 0.000 Al
0.500 0.000 0.000 Al
0.000 0.000 0.500 Al
```



[12]
Compound: Hf2HgPbF
Source: Alexandria via LeMat-Bulk
Functional: meta-GGA SCAN
Structure: PBEsol geometry

Calculated values
As for the energy relative to the elements, uncorrected: 0.3525 eV per atom. As for the crystal system: tetragonal. Its symmetry is P4/mmm (123).

Geometry as POSCAR:
```
Hf2HgPbF
1.0
-1.758 4.061 -0.221
-2.228 -1.217 -4.626
-4.300 -1.724 2.525
Pb Hg Hf F
1 1 2 1
direct
0.500 0.500 0.500 Pb
0.000 0.000 0.000 Hg
0.000 0.500 0.000 Hf
0.000 0.000 0.500 Hf
0.500 0.000 0.000 F
```



[13]
Compound: MgMo2Br
Source: Alexandria via LeMat-Bulk
Functional: meta-GGA SCAN
Structure: PBEsol geometry

Calculated values
As for the energy relative to the elements, uncorrected: 0.7420 eV per atom. For the energy relative to the lowest polymorph listed for this composition, the calculation gives 0.488 eV/atom. As for the crystal system: orthorhombic. Its symmetry is Pmmm (47).

Geometry as POSCAR:
```
MgMo2Br
1.0
3.116 0.000 0.000
0.000 4.407 0.000
0.000 0.000 4.968
Mo Br Mg
2 1 1
direct
0.500 0.500 0.000 Mo
0.000 0.000 0.000 Mo
0.500 0.000 0.500 Br
0.000 0.500 0.500 Mg
```



[14]
Compound: NbPt3O
Source: Alexandria via LeMat-Bulk
Functional: meta-GGA SCAN
Structure: PBEsol geometry

Calculated values
As for the energy relative to the elements, uncorrected: 1.6592 eV per atom. As for the crystal system: cubic. Its symmetry is Pm-3m (221).

Geometry as POSCAR:
```
NbPt3O
1.0
4.809 0.000 0.000
0.000 4.809 0.000
0.000 0.000 4.809
Nb Pt O
1 3 1
direct
0.000 0.000 0.000 Nb
0.000 0.500 0.000 Pt
0.000 0.000 0.500 Pt
0.500 0.000 0.000 Pt
0.500 0.500 0.500 O
```



[15]
Compound: TlH3I
Source: Alexandria via LeMat-Bulk
Functional: meta-GGA SCAN
Structure: PBEsol geometry

Calculated values
As for the crystal system: cubic. Its symmetry is Pm-3m (221).

Geometry as POSCAR:
```
TlH3I
1.0
-1.728 2.711 2.744
-2.772 1.219 -2.949
-2.684 -3.005 1.279
H I Tl
3 1 1
direct
0.000 0.500 0.000 H
0.000 0.000 0.500 H
0.500 0.000 0.000 H
0.000 0.000 0.000 I
0.500 0.500 0.500 Tl
```



[16]
Compound: Fe2RuRh
Source: Alexandria via LeMat-Bulk
Functional: meta-GGA SCAN
Structure: PBEsol geometry

Calculated values
Its formation energy is -101 meV per atom. As for the crystal system: tetragonal. Its symmetry is P4/mmm (123).

Geometry as POSCAR:
```
Fe2RuRh
1.0
2.905 0.000 0.000
0.000 4.181 0.000
0.000 0.000 4.181
Ru Fe Rh
1 2 1
direct
0.500 0.000 0.000 Ru
0.000 0.500 0.000 Fe
0.000 0.000 0.500 Fe
0.500 0.500 0.500 Rh
```



[17]
Compound: Al2NiO4
Source: Alexandria via LeMat-Bulk
Functional: meta-GGA SCAN
Structure: PBEsol geometry

Calculated values
As for the energy relative to the elements, uncorrected: -2.7215 eV per atom. As for the crystal system: cubic. Its symmetry is Fd-3m (227).

Geometry as POSCAR:
```
Al2NiO4
1.0
-4.216 -3.611 -1.310
1.020 -4.463 -3.400
-0.004 -5.281 2.151
O Al Ni
8 4 2
direct
0.264 0.209 0.264 O
0.736 0.236 0.736 O
0.736 0.791 0.736 O
0.736 0.236 0.291 O
0.709 0.764 0.264 O
0.264 0.764 0.709 O
0.264 0.764 0.264 O
0.291 0.236 0.736 O
0.500 0.000 0.000 Al
0.500 0.000 0.500 Al
0.000 0.000 0.500 Al
0.500 0.500 0.500 Al
0.125 0.625 0.125 Ni
0.875 0.375 0.875 Ni
```



[18]
Compound: LiMo2As
Source: Alexandria via LeMat-Bulk
Functional: meta-GGA SCAN
Structure: PBEsol geometry

Calculated values
Its formation energy is 163 meV per atom. As for the crystal system: trigonal. Its symmetry is R3m (160).

Geometry as POSCAR:
```
LiMo2As
1.0
-2.759 -0.954 -0.126
-0.559 -2.754 -0.804
-0.613 -3.754 7.971
Mo Li As
2 1 1
direct
0.006 0.006 0.982 Mo
0.753 0.753 0.740 Mo
0.246 0.246 0.261 Li
0.494 0.494 0.518 As
```



[19]
Compound: ZnCu2OsN
Source: Alexandria via LeMat-Bulk
Functional: meta-GGA SCAN
Structure: PBEsol geometry

Calculated values
As for the energy relative to the elements, uncorrected: 2.3098 eV per atom. As for the crystal system: tetragonal. Its symmetry is P4/mmm (123).

Geometry as POSCAR:
```
ZnCu2OsN
1.0
-3.541 -2.241 0.060
2.153 -3.368 1.258
-0.685 1.200 4.383
N Zn Cu Os
1 1 2 1
direct
0.500 0.500 0.500 N
0.000 0.000 0.000 Zn
0.500 0.000 0.000 Cu
0.000 0.500 0.000 Cu
0.000 0.000 0.500 Os
```



[20]
Compound: CdIn
Source: Alexandria via LeMat-Bulk
Functional: meta-GGA SCAN
Structure: PBEsol geometry

Calculated values
Its formation energy is 119 meV per atom. As for the crystal system: cubic. Its symmetry is Fd-3m (227).

Geometry as POSCAR:
```
CdIn
1.0
-1.791 -3.335 -3.437
2.303 -4.524 -0.614
-2.319 -4.282 1.560
Cd In
2 2
direct
0.000 0.000 0.000 Cd
0.250 0.250 0.250 Cd
0.750 0.750 0.750 In
0.500 0.500 0.500 In
```



Final energy, record by record: -35.770 -17.367 -58.332 -12.123 -31.190 -13.234 -27.602 -17.606 -23.033 -30.962 -16.553 -54.214 -22.809 -48.329 -23.031 -26.315 -10.807 -22.925 -22.707 -31.782 eV/atom
Total magnetization, record by record: 1.7 4.9 0.0 0.0 0.0 3.0 6.9 0.0 0.0 1.3 0.0 0.0 0.0 2.0 0.0 8.8 2.0 0.0 1.1 0.0 μB per formula unit